[1]
A plane-wave DFT calculation with PBEsol was carried out for crystalline LaCr2Co at its relaxed geometry.

```
LaCr2Co
1.0
-2.1671 1.6686 1.0872
-1.3357 -0.0259 -2.6226
-3.6053 -5.9171 1.8947
La Co Cr
1 1 2
Direct
0.0000 0.0000 0.5087 La
0.5000 0.5000 0.8236 Co
0.0000 0.0000 0.9984 Cr
0.5000 0.5000 0.1693 Cr
```

Results
Uncorrected energy: -7.972 eV per atom
SG: P4mm (99)
Theoretical density: 8.055 g/cm3
Energy of formation from the pure elements: 420 meV/atom

=====

[2]
A plane-wave DFT calculation with PBEsol was carried out for crystalline LaTa2Rh2 at its relaxed geometry.

```
LaTa2Rh2
1.0
4.5171 0.0000 0.0000
0.0000 4.5171 0.0000
-2.2586 -2.2586 5.0896
Ta Rh La
2 2 1
Direct
0.6360 0.6360 0.2720 Ta
0.3640 0.3640 0.7280 Ta
0.2500 0.7500 0.5000 Rh
0.7500 0.2500 0.5000 Rh
0.0000 0.0000 0.0000 La
```

Results
Uncorrected energy: -9.426 eV per atom
SG: I4/mmm (139)
Theoretical density: 11.298 g/cm3
Energy of formation from the pure elements: -81 meV/atom

=====

[3]
A plane-wave DFT calculation with PBEsol was carried out for crystalline LaYRu2 at its relaxed geometry.

```
LaYRu2
1.0
-1.9101 -1.6660 -2.2229
-1.7140 -2.5964 3.4187
-3.1669 4.6277 -0.7471
Ru La Y
2 1 1
Direct
0.0000 0.0000 0.0000 Ru
0.5000 0.5000 0.5000 Ru
0.0000 0.0000 0.5000 La
0.5000 0.5000 0.0000 Y
```

Results
Uncorrected energy: -7.922 eV per atom
SG: P2/m (10)
Theoretical density: 8.644 g/cm3
Energy of formation from the pure elements: 206 meV/atom

=====

[4]
A plane-wave DFT calculation with PBEsol was carried out for crystalline TlRe2Hg at its relaxed geometry.

```
TlRe2Hg
1.0
2.8083 0.0000 0.0000
0.0000 2.8083 0.0000
0.0000 0.0000 8.8864
Re Hg Tl
2 1 1
Direct
0.0000 0.0000 0.2555 Re
0.0000 0.0000 0.7445 Re
0.5000 0.5000 0.5000 Hg
0.5000 0.5000 0.0000 Tl
```

Results
Relative energy among the computed polymorphs: 0.858 eV per atom
Uncorrected energy: -6.204 eV per atom
SG: P4/mmm (123)
Theoretical density: 18.419 g/cm3
Energy of formation from the pure elements: 1261 meV/atom

=====

[5]
A plane-wave DFT calculation with PBEsol was carried out for crystalline LiTaBi2 at its relaxed geometry.

```
LiTaBi2
1.0
-6.1199 -1.4088 -2.2703
4.4512 -5.9860 1.5364
-1.3472 -3.2730 5.6625
Bi Li Ta
4 2 2
Direct
0.8750 0.2500 0.6437 Bi
0.6437 0.7500 0.3750 Bi
0.1063 0.7500 0.8750 Bi
0.3750 0.2500 0.1063 Bi
0.5000 0.0000 0.5000 Li
0.2500 0.5000 0.2500 Li
0.7500 0.5000 0.7500 Ta
0.0000 0.0000 0.0000 Ta
```

Results
Uncorrected energy: -5.164 eV per atom
SG: I-42d (122)
Theoretical density: 7.551 g/cm3
Energy of formation from the pure elements: 608 meV/atom

=====

[6]
A plane-wave DFT calculation with PBEsol was carried out for crystalline KHg2Os at its relaxed geometry.

```
KHg2Os
1.0
-0.0026 -2.6865 1.2683
-0.0930 -2.4409 -1.6909
10.4259 -1.8766 -0.4741
Hg Os K
2 1 1
Direct
0.2589 0.2589 0.2232 Hg
0.7411 0.7411 0.7768 Hg
0.0000 0.0000 0.0000 Os
0.5000 0.5000 0.5000 K
```

Results
Uncorrected energy: -2.903 eV per atom
SG: R-3m (166)
Theoretical density: 13.090 g/cm3
Energy of formation from the pure elements: 718 meV/atom

=====

[7]
A plane-wave DFT calculation with PBEsol was carried out for crystalline Li2GaSi at its relaxed geometry.

```
Li2GaSi
1.0
-1.9309 -3.1155 -2.2555
1.1245 -0.7058 -4.0938
2.1765 -3.5611 -1.0504
Li Si Ga
2 1 1
Direct
0.7500 0.7500 0.7500 Li
0.2500 0.2500 0.2500 Li
0.0000 0.0000 0.0000 Si
0.5000 0.5000 0.5000 Ga
```

Results
Uncorrected energy: -3.429 eV per atom
SG: Fm-3m (225)
Theoretical density: 3.290 g/cm3
Uncorrected formation energy: -0.17 eV per atom

=====

[8]
A plane-wave DFT calculation with PBEsol was carried out for crystalline LiZrAs2 at its relaxed geometry.

```
LiZrAs2
1.0
-3.4779 2.1978 2.1727
-1.7667 -1.7559 3.9297
0.7750 2.1390 4.0585
Zr Li As
1 1 2
Direct
0.5000 0.5000 0.5000 Zr
0.0000 0.0000 0.0000 Li
0.7500 0.7500 0.7500 As
0.2500 0.2500 0.2500 As
```

Results
Relative energy among the computed polymorphs: 0.052 eV per atom
Uncorrected energy: -5.895 eV per atom
SG: Fm-3m (225)
Theoretical density: 5.783 g/cm3
Energy of formation from the pure elements: -578 meV/atom

=====

[9]
A plane-wave DFT calculation with PBEsol was carried out for crystalline Bi2Pt at its relaxed geometry.

```
Bi2Pt
1.0
-2.8133 2.2741 1.8787
-1.1476 -3.0534 -2.4445
0.0678 -3.4499 4.2775
Bi Pt
2 1
Direct
0.6667 0.3333 0.7381 Bi
0.3333 0.6667 0.2619 Bi
0.0000 0.0000 0.0000 Pt
```

Results
Uncorrected energy: -5.385 eV per atom
SG: P-3m1 (164)
Theoretical density: 12.872 g/cm3
Energy of formation from the pure elements: -207 meV/atom

=====

[10]
A plane-wave DFT calculation with PBEsol was carried out for crystalline In2PbAu at its relaxed geometry.

```
In2PbAu
1.0
-3.7068 -0.9296 0.9466
0.0902 -3.2473 -2.8358
3.7665 -3.0814 3.6484
Pb In Au
1 2 1
Direct
0.4724 0.0000 0.5672 Pb
0.7880 0.5000 0.2034 In
0.1986 0.0000 0.0250 In
0.0410 0.5000 0.7044 Au
```

Results
Uncorrected energy: -3.504 eV per atom
SG: Pm (6)
Theoretical density: 10.755 g/cm3
Energy of formation from the pure elements: -32 meV/atom

=====

[11]
A plane-wave DFT calculation with PBEsol was carried out for crystalline Y3AsW at its relaxed geometry.

```
Y3AsW
1.0
-0.4264 -1.3011 -5.0668
-4.3258 -2.7709 1.0756
-2.9416 4.2634 -0.8473
Y W As
3 1 1
Direct
0.5000 0.0000 0.0000 Y
0.0000 0.5000 0.0000 Y
0.0000 0.0000 0.5000 Y
0.0000 0.0000 0.0000 W
0.5000 0.5000 0.5000 As
```

Results
Uncorrected energy: -7.352 eV per atom
SG: Pm-3m (221)
Theoretical density: 6.035 g/cm3
Energy of formation from the pure elements: 524 meV/atom

=====

[12]
A plane-wave DFT calculation with PBEsol was carried out for crystalline LiTa4Ag at its relaxed geometry.

```
LiTa4Ag
1.0
5.4004 0.0000 0.0000
2.7002 4.6768 0.0000
2.7002 1.5589 4.4094
Li Ta Ag
1 4 1
Direct
0.0000 0.0000 0.0000 Li
0.3739 0.3739 0.8782 Ta
0.3739 0.8782 0.3739 Ta
0.3739 0.3739 0.3739 Ta
0.8782 0.3739 0.3739 Ta
0.7500 0.7500 0.7500 Ag
```

Results
Uncorrected energy: -8.610 eV per atom
SG: F-43m (216)
Theoretical density: 12.504 g/cm3
Energy of formation from the pure elements: 637 meV/atom